NiH3Pt after structural relaxation, computed with PBE.

abc: 3.2911 3.2911 3.2911
angles: 90.00 90.00 90.00
With the nearest neighbours (Å) after each atom.
Space group Pm-3m (No. 221)
Symmetry-distinct sites (fractional):
Ni: 0.0000 0.0000 0.0000  6 H 1.65
H: 0.0000 0.0000 0.5000  2 Ni 1.65
Pt: 0.5000 0.5000 0.5000  12 H 2.33

Properties
Crystal system   cubic
Energy   -4.1164 eV/atom



BaSmPd10 after structural relaxation, computed with PBE.

abc: 4.4854 5.4397 9.4586
angles: 90.00 90.00 90.00
With the nearest neighbours (Å) after each atom.
Space group Pmmm (No. 47)
Symmetry-distinct sites (fractional):
Ba: 0.0000 0.0000 0.0000  18 Pd 3.22-3.59
Sm: 0.0000 0.5000 0.5000  6 Pd 3.01-3.10
Pd: 0.0000 0.0000 0.3436  7 Pd 2.69-2.96
Pd: 0.0000 0.5000 0.1820  6 Pd 2.71-2.83, 1 Sm 3.01
Pd: 0.5000 0.0000 0.5000  8 Pd 2.67-2.69
Pd: 0.5000 0.2532 0.2582  8 Pd 2.67-2.79
Pd: 0.5000 0.5000 0.0000  8 Pd 2.79-2.83

Properties
Crystal system   orthorhombic
Energy   -5.3027 eV/atom
Formation energy from the elements   -0.4218 eV/atom



CeAgHg6 after structural relaxation, computed with PBE.

abc: 8.6508 8.6508 10.6076
angles: 90.00 90.00 120.00
With the nearest neighbours (Å) after each atom.
Space group R-3m (No. 166, hexagonal axes)
Symmetry-distinct sites (fractional):
Ce: 0.0000 0.0000 0.0000  6 Hg 3.19
Ag: 0.0000 0.0000 0.5000  6 Hg 2.85
Hg: 0.0893 0.5447 0.3731  1 Ag 2.85, 3 Hg 3.01-3.17, 1 Ce 3.19

Properties
Crystal system   trigonal
Energy   -1.3122 eV/atom
Formation energy from the elements   0.0123 eV/atom



In2GaHPb after structural relaxation, computed with PBE.

abc: 4.9949 4.9949 4.4460
angles: 90.00 90.00 90.00
With the nearest neighbours (Å) after each atom.
Space group P4/mmm (No. 123)
Symmetry-distinct sites (fractional):
In: 0.0000 0.5000 0.0000  2 H 2.50
Ga: 0.0000 0.0000 0.5000  2 H 2.22
H: 0.0000 0.0000 0.0000  2 Ga 2.22
Pb: 0.5000 0.5000 0.5000  8 In 3.34, 4 Ga 3.53

Properties
Crystal system   tetragonal
Energy   -2.9140 eV/atom



SmLuCoPd after structural relaxation, computed with PBE.

abc: 6.8625 6.8625 6.8625
angles: 90.00 90.00 90.00
With the nearest neighbours (Å) after each atom.
Space group F-43m (No. 216)
Symmetry-distinct sites (fractional):
Sm: 0.0000 0.0000 0.0000  4 Pd 2.97, 4 Co 2.97
Lu: 0.0000 0.0000 0.5000  4 Co 2.97, 4 Pd 2.97
Co: 0.2500 0.2500 0.7500  4 Sm 2.97, 4 Lu 2.97
Pd: 0.2500 0.2500 0.2500  4 Lu 2.97, 4 Sm 2.97

Properties
Crystal system   cubic
Energy   -5.8503 eV/atom
Formation energy from the elements   -0.4656 eV/atom



AcHo3Mn after structural relaxation, computed with PBE.

abc: 5.3912 5.3912 5.3912
angles: 90.00 90.00 90.00
With the nearest neighbours (Å) after each atom.
Space group Pm-3m (No. 221)
Symmetry-distinct sites (fractional):
Ac: 0.0000 0.0000 0.0000  12 Ho 3.81
Ho: 0.0000 0.5000 0.5000  2 Mn 2.70
Mn: 0.5000 0.5000 0.5000  6 Ho 2.70

Properties
Crystal system   cubic
Energy   -5.2121 eV/atom
Formation energy from the elements   0.1902 eV/atom



Li2NpIn after structural relaxation, computed with PBE.

abc: 4.9172 4.9172 11.9097
angles: 90.00 90.00 120.00
With the nearest neighbours (Å) after each atom.
Space group R-3m (No. 166, hexagonal axes)
Symmetry-distinct sites (fractional):
Li: 0.0000 0.0000 0.2504  4 In 2.97-3.01, 4 Np 2.98-3.01
Np: 0.0000 0.0000 0.0000  8 Li 2.98-3.01
In: 0.0000 0.0000 0.5000  8 Li 2.97-3.01

Properties
Crystal system   trigonal
Energy   -4.6075 eV/atom
Formation energy from the elements   0.2692 eV/atom



HoEr3Th2 after structural relaxation, computed with PBE.

abc: 23.2998 3.4448 10.0663
angles: 90.00 108.27 90.00
With the nearest neighbours (Å) after each atom.
Space group C2/m (No. 12)
Symmetry-distinct sites (fractional):
Ho: 0.1874 0.0000 0.0370  5 Er 3.33-3.62, 3 Th 3.38-3.59, 4 Ho 3.44-3.66
Er: 0.0584 0.0000 0.4439  6 Er 3.26-3.52, 3 Th 3.36-3.65
Er: 0.0678 0.5000 0.7738  8 Er 3.44-3.69, 2 Th 3.61-3.64, 2 Ho 3.62
Er: 0.1947 0.0000 0.7121  3 Ho 3.33-3.54, 3 Th 3.36-3.52, 5 Er 3.44-3.64
Th: 0.0717 0.5000 0.1356  5 Th 3.44-3.59, 2 Ho 3.59, 4 Er 3.61-3.65
Th: 0.1904 0.0000 0.3752  4 Er 3.36-3.52, 1 Ho 3.38, 6 Th 3.44-3.55

Properties
Crystal system   monoclinic
Energy   -5.3698 eV/atom
Formation energy from the elements   0.1478 eV/atom



Ac3ZnS6 after structural relaxation, computed with PBE.

abc: 11.9281 14.7853 6.4830
angles: 90.00 90.00 90.00
With the nearest neighbours (Å) after each atom.
Space group Cmc2_1 (No. 36)
Symmetry-distinct sites (fractional):
Ac: 0.0000 0.1179 0.0000  7 S 2.99-3.07
Ac: 0.1806 0.3890 0.0639  6 S 2.94-3.15
Zn: 0.0000 0.3081 0.6199  4 S 2.32-2.41
S: 0.0000 0.2839 0.2656  1 Zn 2.32
S: 0.0000 0.4611 0.7487  1 Zn 2.41
S: 0.1589 0.0126 0.2854  4 Ac 3.01-3.07, 2 S 3.26
S: 0.1588 0.2383 0.7708  1 Zn 2.37

Properties
Crystal system   orthorhombic
Energy   -5.5391 eV/atom
Formation energy from raw total energies   -1.703 eV per atom



K2TcCl5O after structural relaxation, computed with PBE.

abc: 13.5220 10.0496 7.0666
angles: 90.00 90.00 90.00
With the nearest neighbours (Å) after each atom.
Space group Pnma (No. 62)
Symmetry-distinct sites (fractional):
K: 0.1471 0.0001 0.1594  9 Cl 3.28-3.59
Tc: 0.0919 0.2500 0.6693  1 O 1.67
Cl: 0.0024 0.2500 0.9615  1 Tc 2.39
Cl: 0.1068 0.0133 0.6932  1 Tc 2.39
Cl: 0.2162 0.2500 0.4260  1 Tc 2.40
Cl: 0.2449 0.2500 0.8881  1 Tc 2.58
O: 0.0044 0.7500 0.4780  1 Tc 1.67

Properties
Crystal system   orthorhombic
Energy   -4.3310 eV/atom
Formation energy from raw total energies   -1.359 eV per atom



Li6SbP2 after structural relaxation, computed with PBE.

abc: 10.3001 3.9138 8.1845
angles: 90.00 112.13 90.00
With the nearest neighbours (Å) after each atom.
Space group C2/m (No. 12)
Symmetry-distinct sites (fractional):
Li: 0.0156 0.0000 0.3510  4 P 2.56-2.62, 3 Li 2.58-2.85, 1 Sb 2.82
Li: 0.1583 0.5000 0.8834  1 P 2.49
Li: 0.2108 0.5000 0.3160  3 P 2.56-2.58
Sb: 0.0000 0.0000 0.0000  6 Li 2.82-2.93
P: 0.1158 0.5000 0.5631  1 P 2.21

Properties
Crystal system   monoclinic
Energy   -3.4879 eV/atom
Formation energy from raw total energies   -0.552 eV per atom



TiPRu3 after structural relaxation, computed with PBE.

abc: 4.4930 4.4930 4.4930
angles: 90.00 90.00 90.00
With the nearest neighbours (Å) after each atom.
Space group Pm-3m (No. 221)
Symmetry-distinct sites (fractional):
Ti: 0.0000 0.0000 0.0000  6 Ru 2.25
P: 0.5000 0.5000 0.5000  12 Ru 3.18
Ru: 0.0000 0.0000 0.5000  2 Ti 2.25

Properties
Crystal system   cubic
Energy   -6.8135 eV/atom
Formation energy from the elements   1.4130 eV/atom



Na3Sb4Pd4 after structural relaxation, computed with PBE.

abc: 4.5287 4.6364 25.8909
angles: 90.00 90.00 90.00
With the nearest neighbours (Å) after each atom.
Space group Immm (No. 71)
Symmetry-distinct sites (fractional):
Na: 0.0000 0.0000 0.0000  4 Pd 3.39, 8 Sb 3.52
Na: 0.0000 0.5000 0.1486  6 Sb 3.34-3.47, 8 Pd 3.46-3.51
Sb: 0.0000 0.0000 0.4464  2 Pd 2.58, 1 Sb 2.77
Sb: 0.0000 0.5000 0.3031  5 Pd 2.58-2.69
Pd: 0.0000 0.0000 0.2505  4 Sb 2.66-2.69
Pd: 0.0000 0.5000 0.4028  3 Sb 2.58

Properties
Crystal system   orthorhombic
Energy   -4.1321 eV/atom
Formation energy from raw total energies   -0.385 eV per atom



BaNbCrGe2 after structural relaxation, computed with PBE.

abc: 4.7099 4.7099 5.2755
angles: 90.00 90.00 90.00
With the nearest neighbours (Å) after each atom.
Space group P4/mmm (No. 123)
Symmetry-distinct sites (fractional):
Ba: 0.0000 0.0000 0.0000  2 Cr 2.64
Nb: 0.5000 0.5000 0.0000  4 Ba 3.33, 8 Ge 3.54
Cr: 0.0000 0.0000 0.5000  4 Ge 2.35
Ge: 0.0000 0.5000 0.5000  2 Cr 2.35

Properties
Crystal system   tetragonal
Energy   -5.0676 eV/atom
Formation energy from the elements   1.1025 eV/atom



Re2GePb after structural relaxation, computed with PBE.

abc: 6.4740 6.4740 6.4740
angles: 90.00 90.00 90.00
With the nearest neighbours (Å) after each atom.
Space group Fm-3m (No. 225)
Symmetry-distinct sites (fractional):
Re: 0.2500 0.2500 0.2500  4 Ge 2.80, 4 Pb 2.80
Ge: 0.0000 0.0000 0.0000  8 Re 2.80
Pb: 0.0000 0.0000 0.5000  8 Re 2.80

Properties
Crystal system   cubic
Energy   -7.3802 eV/atom
Formation energy from the elements   0.9253 eV/atom



SiH2F8 after structural relaxation, computed with PBE.

abc: 7.1937 7.0711 4.9926
angles: 90.00 92.88 90.00
With the nearest neighbours (Å) after each atom.
Space group C2/m (No. 12)
Symmetry-distinct sites (fractional):
Si: 0.0000 0.0000 0.0000  6 F 1.67-1.76
H: 0.1929 0.5000 0.6536  1 F 1.09
F: 0.0497 0.1667 0.7764  1 Si 1.67
F: 0.1304 0.5000 0.4491  1 H 1.09
F: 0.2354 0.0000 0.1183  1 H 1.23

Properties
Crystal system   monoclinic
Energy   -4.3173 eV/atom



AlBr3F after structural relaxation, computed with PBE.

abc: 5.0107 5.0107 5.0107
angles: 90.00 90.00 90.00
With the nearest neighbours (Å) after each atom.
Space group Pm-3m (No. 221)
Symmetry-distinct sites (fractional):
Al: 0.0000 0.0000 0.0000  12 Br 3.54
Br: 0.0000 0.5000 0.5000  2 F 2.51
F: 0.5000 0.5000 0.5000  6 Br 2.51

Properties
Crystal system   cubic
Energy   -1.9440 eV/atom
Formation energy from raw total energies   0.183 eV per atom



KMn2VBr8 after structural relaxation, computed with PBE.

abc: 6.5743 6.5743 32.3459
angles: 90.00 90.00 120.00
With the nearest neighbours (Å) after each atom.
Space group R32 (No. 155, hexagonal axes)
Symmetry-distinct sites (fractional):
K: 0.0000 0.0000 0.0000  12 Br 3.84-4.29
Mn: 0.0000 0.0000 0.2401  4 Br 2.43-2.50
V: 0.0000 0.0000 0.5000  6 Br 2.63
Br: 0.0000 0.0000 0.3152  1 Mn 2.43
Br: 0.0174 0.3751 0.2192  1 Mn 2.50, 1 V 2.63

Properties
Crystal system   trigonal
Energy   -4.3371 eV/atom
Formation energy from raw total energies   -0.842 eV per atom



Rb2LiHg2F6 after structural relaxation, computed with PBE.

abc: 11.3045 6.3658 6.9078
angles: 90.00 120.13 90.00
With the nearest neighbours (Å) after each atom.
Space group C2/m (No. 12)
Symmetry-distinct sites (fractional):
Rb: 0.2129 0.0000 0.1486  5 F 2.79-2.85
Li: 0.0000 0.0000 0.5000  6 F 2.14-2.22
Hg: 0.0686 0.5000 0.2330  3 F 2.18-2.28
F: 0.0621 0.2335 0.7559  1 Li 2.14, 1 Hg 2.28
F: 0.2100 0.0000 0.5500  1 Hg 2.18, 1 Li 2.22

Properties
Crystal system   monoclinic
Energy   -3.4013 eV/atom
Formation energy from raw total energies   -1.976 eV per atom



TaZnRe2 after structural relaxation, computed with PBE.

abc: 2.8047 2.8047 27.8643
angles: 90.00 90.00 120.00
With the nearest neighbours (Å) after each atom.
Space group R3m (No. 160, hexagonal axes)
Symmetry-distinct sites (fractional):
Ta: 0.0000 0.0000 0.0000  6 Ta 2.80, 3 Zn 2.92, 3 Re 2.95
Zn: 0.0000 0.0000 0.7540  3 Re 2.79, 6 Zn 2.80, 3 Ta 2.92
Re: 0.0000 0.0000 0.2448  9 Re 2.66-2.80, 3 Ta 2.95
Re: 0.0000 0.0000 0.5023  9 Re 2.66-2.80, 3 Zn 2.79

Properties
Crystal system   trigonal
Energy   -9.4000 eV/atom
Formation energy from the elements   0.1057 eV/atom



DyEr2Mn after structural relaxation, computed with PBE.

abc: 3.5051 3.5051 8.5643
angles: 90.00 90.00 90.00
With the nearest neighbours (Å) after each atom.
Space group P4/mmm (No. 123)
Symmetry-distinct sites (fractional):
Dy: 0.0000 0.0000 0.0000  4 Dy 3.51, 8 Er 3.57
Er: 0.5000 0.5000 0.3002  4 Mn 3.01
Mn: 0.0000 0.0000 0.5000  8 Er 3.01

Properties
Crystal system   tetragonal
Energy   -5.6114 eV/atom
Formation energy from the elements   0.1129 eV/atom



NaTlSn2H after structural relaxation, computed with PBE.

abc: 4.6011 4.6011 5.4573
angles: 90.00 90.00 90.00
With the nearest neighbours (Å) after each atom.
Space group P4/mmm (No. 123)
Symmetry-distinct sites (fractional):
Na: 0.0000 0.0000 0.0000  4 Tl 3.25, 8 Sn 3.57
Tl: 0.5000 0.5000 0.0000  2 H 2.73
Sn: 0.0000 0.5000 0.5000  2 H 2.30
H: 0.5000 0.5000 0.5000  4 Sn 2.30

Properties
Crystal system   tetragonal
Energy   -2.8935 eV/atom



For each record above, in turn, the calculated calculated volume values are 7.13 19.23 28.64 22.18 20.20 31.34 20.78 31.97 28.58 26.67 16.98 18.14 24.71 23.41 16.96 11.53 25.16 33.63 19.54 15.82 26.31 23.11 Å³ per atom.